LiZr2Zn6: relaxed, PBE.

Properties
Total DFT energy (no corrections), eV per atom: -3.2038
Calculated formation energy, eV/atom: -0.24
Mass density, g/cm3: 6.39
Density of states at the Fermi level, states/eV/f.u.: 3.88

Cell: 7.6773 7.6773 2.9632 Å, 90.00 90.00 120.00°
Space group P6/mmm (No. 191)
Asymmetric unit:
Li (0.0000, 0.0000, 0.0000) [1 per cell]
Zr (0.3333, 0.6667, 0.0000) [2 per cell]
Zn (0.0000, 0.3300, 0.5000) [6 per cell]